# PrGaHg2 | OQMD | PBE-GGA | relaxed
data_PrGaHg2
_chemical_formula_sum 'Pr4 Ga4 Hg8'
_space_group_name_H-M_alt 'A m a 2'
_space_group_IT_number 40
_cell_length_a 4.917
_cell_length_b 11.587
_cell_length_c 6.841
_cell_angle_alpha 90.00
_cell_angle_beta 90.00
_cell_angle_gamma 90.00
loop_
_space_group_symop_operation_xyz
'x,y,z'
'-x,-y,z'
'-x+1/2,y,z'
'x+1/2,-y,z'
'x,y+1/2,z+1/2'
'-x,-y+1/2,z+1/2'
'-x+1/2,y+1/2,z+1/2'
'x+1/2,-y+1/2,z+1/2'
loop_
_atom_site_label
_atom_site_fract_x
_atom_site_fract_y
_atom_site_fract_z
_atom_site_occupancy
Pr1 0.250 0.164 0.000 1
Ga1 0.250 0.426 0.245 1
Hg1 0.250 0.157 0.517 1
Hg2 0.250 0.418 0.768 1
# * uncorrected energy: -2.511 eV/atom
# * volume: 389.81 Å³ per cell